Material: ReB3W
Method: DFT, PBE-GGA
State: optimized geometry

Summary:
Size of the total moment ... 0.00 μB/f.u.
ΔE to the lowest computed polymorph ... 1.65 eV per formula unit

Cell lengths 4.004, 4.004, 4.004 Å; angles 90.00, 90.00, 90.00 degrees
Fractional coordinates of all 5 atoms:
B: 0.500 0.000 0.000
W: 0.000 0.000 0.000
B: 0.000 0.500 0.000
Re: 0.500 0.500 0.500
B: 0.000 0.000 0.500

Material: Re3BW
Method: DFT, PBE-GGA
State: optimized geometry

Summary:
Size of the total moment ... 2.75 μB/f.u.
ΔE to the lowest computed polymorph ... 15.68 eV per formula unit

Cell lengths 4.753, 4.753, 4.753 Å; angles 90.00, 90.00, 90.00 degrees
Fractional coordinates of all 5 atoms:
Re: 0.000 0.000 0.500
B: 0.500 0.500 0.500
Re: 0.500 0.000 0.000
Re: 0.000 0.500 0.000
W: 0.000 0.000 0.000

Material: Re4B2W
Method: DFT, PBE-GGA
State: optimized geometry

Summary:
Size of the total moment ... 0.00 μB/f.u.
ΔE to the lowest computed polymorph ... 1.60 eV per formula unit

Cell lengths 3.810, 3.812, 6.593 Å; angles 106.80, 90.00, 90.00 degrees
Fractional coordinates of all 7 atoms:
Re: 0.500 0.171 0.341
Re: 0.500 0.829 0.659
B: 0.500 0.430 0.861
W: 0.000 0.000 0.000
B: 0.500 0.570 0.139
Re: 0.000 0.325 0.650
Re: 0.000 0.675 0.350

Material: Re2B2W
Method: DFT, PBE-GGA
State: optimized geometry

Summary:
Size of the total moment ... 0.00 μB/f.u.

Cell lengths 6.256, 6.256, 2.925 Å; angles 90.00, 90.00, 90.00 degrees
Fractional coordinates of all 10 atoms:
W: 0.500 0.500 0.000
Re: 0.150 0.650 0.500
B: 0.356 0.856 0.000
Re: 0.850 0.350 0.500
Re: 0.350 0.150 0.500
Re: 0.650 0.850 0.500
W: 0.000 0.000 0.000
B: 0.644 0.144 0.000
B: 0.856 0.644 0.000
B: 0.144 0.356 0.000

Material: ReB3W
Method: DFT, PBE-GGA
State: optimized geometry

Summary:
Size of the total moment ... 0.00 μB/f.u.
ΔE to the lowest computed polymorph ... 0.00 eV per formula unit

Cell lengths 3.977, 3.977, 3.977 Å; angles 90.00, 90.00, 90.00 degrees
Fractional coordinates of all 5 atoms:
B: 0.000 0.000 0.500
W: 0.500 0.500 0.500
Re: 0.000 0.000 0.000
B: 0.000 0.500 0.000
B: 0.500 0.000 0.000

Material: ReB4W5
Method: DFT, PBE-GGA
State: optimized geometry

Summary:
Size of the total moment ... 0.00 μB/f.u.

Cell lengths 3.066, 6.146, 6.900 Å; angles 103.09, 102.84, 90.00 degrees
Fractional coordinates of all 10 atoms:
B: 0.666 0.085 0.332
W: 0.833 0.170 0.666
B: 0.334 0.915 0.668
Re: 0.500 0.000 0.000
W: 0.171 0.340 0.342
W: 0.500 0.500 0.000
W: 0.829 0.660 0.658
W: 0.167 0.830 0.334
B: 0.996 0.748 0.993
B: 0.004 0.252 0.007

Material: Re3B2W
Method: DFT, PBE-GGA
State: optimized geometry

Summary:
Size of the total moment ... 0.00 μB/f.u.

Cell lengths 2.958, 6.549, 7.864 Å; angles 78.26, 79.16, 76.95 degrees
Fractional coordinates of all 12 atoms:
W: 0.151 0.436 0.262
B: 0.233 0.575 0.960
Re: 0.574 0.789 0.064
Re: 0.429 0.714 0.427
Re: 0.571 0.286 0.573
Re: 0.149 0.943 0.759
B: 0.231 0.080 0.458
W: 0.849 0.564 0.738
Re: 0.851 0.057 0.241
Re: 0.426 0.211 0.936
B: 0.767 0.425 0.040
B: 0.769 0.920 0.542

Material: ReB2W2
Method: DFT, PBE-GGA
State: optimized geometry

Summary:
Size of the total moment ... 0.00 μB/f.u.
ΔE to the lowest computed polymorph ... 0.00 eV per formula unit

Cell lengths 6.034, 6.034, 3.157 Å; angles 90.00, 90.00, 90.00 degrees
Fractional coordinates of all 10 atoms:
Re: 0.000 0.000 0.000
W: 0.667 0.833 0.500
B: 0.882 0.618 0.000
W: 0.167 0.667 0.500
B: 0.618 0.118 0.000
W: 0.333 0.167 0.500
Re: 0.500 0.500 0.000
W: 0.833 0.333 0.500
B: 0.382 0.882 0.000
B: 0.118 0.382 0.000

Material: Re3BW
Method: DFT, PBE-GGA
State: optimized geometry

Summary:
Size of the total moment ... 0.00 μB/f.u.
ΔE to the lowest computed polymorph ... 0.63 eV per formula unit

Cell lengths 5.557, 5.557, 5.557 Å; angles 67.99, 67.99, 67.99 degrees
Fractional coordinates of all 10 atoms:
Re: 0.973 0.973 0.394
W: 0.432 0.432 0.432
Re: 0.394 0.973 0.973
B: 0.246 0.246 0.246
Re: 0.473 0.894 0.473
Re: 0.473 0.473 0.894
B: 0.746 0.746 0.746
W: 0.932 0.932 0.932
Re: 0.894 0.473 0.473
Re: 0.973 0.394 0.973

Material: ReB2W3
Method: DFT, PBE-GGA
State: optimized geometry

Summary:
Size of the total moment ... 0.00 μB/f.u.

Cell lengths 4.747, 5.576, 5.576 Å; angles 90.04, 90.00, 90.00 degrees
Fractional coordinates of all 12 atoms:
W: 0.250 0.081 0.582
B: 0.500 0.252 0.252
W: 0.250 0.917 0.083
B: 0.000 0.252 0.252
B: 0.500 0.748 0.748
W: 0.750 0.582 0.081
W: 0.250 0.418 0.919
B: 0.000 0.748 0.748
Re: 0.250 0.580 0.420
Re: 0.750 0.420 0.580
W: 0.750 0.919 0.418
W: 0.750 0.083 0.917

Material: Re3BW
Method: DFT, PBE-GGA
State: optimized geometry

Summary:
Size of the total moment ... 0.00 μB/f.u.
ΔE to the lowest computed polymorph ... 0.30 eV per formula unit

Cell lengths 4.116, 4.116, 4.116 Å; angles 90.00, 90.00, 90.00 degrees
Fractional coordinates of all 5 atoms:
W: 0.500 0.500 0.500
Re: 0.000 0.500 0.000
B: 0.000 0.000 0.000
Re: 0.500 0.000 0.000
Re: 0.000 0.000 0.500

Material: ReB2W4
Method: DFT, PBE-GGA
State: optimized geometry

Summary:
Size of the total moment ... 0.00 μB/f.u.

Cell lengths 4.255, 4.255, 6.823 Å; angles 71.83, 71.83, 60.00 degrees
Fractional coordinates of all 7 atoms:
W: 0.385 0.385 0.845
B: 0.111 0.111 0.666
W: 0.225 0.225 0.326
Re: 0.000 0.000 0.000
B: 0.889 0.889 0.334
W: 0.775 0.775 0.674
W: 0.615 0.615 0.155

Q: Which E_form values were calculated for the entries above? A: 1.85, 3.22, 0.26, -0.09, 1.52, -0.06, -0.23, -0.24, 0.21, -0.25, 0.14, 0.46, in eV per atom.